# NaLu2Mg, relaxed, DFT PBE
# ΔE_f in kcal/mol of atoms: 4.8
# Density of states at the Fermi level in states/eV/atom: 1.096
# Total magnetization in μB per formula unit: 0.00
data_NaLu2Mg
_symmetry_space_group_name_H-M 'R -3 m'
_symmetry_Int_Tables_number 166
_symmetry_space_group_name_Hall '-R 3 2"'
_cell_length_a 3.3820
_cell_length_b 3.3820
_cell_length_c 36.5094
_cell_angle_alpha 90.00
_cell_angle_beta 90.00
_cell_angle_gamma 120.00
loop_
_atom_site_label
_atom_site_fract_x
_atom_site_fract_y
_atom_site_fract_z
Na1 0.0000 0.0000 0.0000
Lu1 0.0000 0.0000 0.0946
Mg1 0.0000 0.0000 0.5000



# Nd4POsCl2, relaxed, DFT PBE
# Density of states at the Fermi level in states/eV/atom: 0.709
# Formation energy without anion corrections in eV/f.u.: -9.3
# Total magnetization in μB per formula unit: 0.00
data_Nd4POsCl2
_symmetry_space_group_name_H-M 'P 1 2/m 1'
_symmetry_Int_Tables_number 10
_cell_length_a 7.399
_cell_length_b 4.093
_cell_length_c 7.518
_cell_angle_alpha 90.00
_cell_angle_beta 106.47
_cell_angle_gamma 90.00
loop_
_symmetry_equiv_pos_as_xyz
'x,y,z'
'-x,-y,-z'
'-x,y,-z'
'x,-y,z'
loop_
_atom_site_label
_atom_site_fract_x
_atom_site_fract_y
_atom_site_fract_z
Nd1 0.228 0.000 0.211
Nd2 0.253 0.500 0.795
P1 0.500 0.000 0.000
Os1 0.000 0.500 0.000
Cl1 0.000 0.000 0.500
Cl2 0.500 0.500 0.500